(1)
Computed, not measured: a geometry-optimized Sm5Tm4Tl structure at the PBE level of DFT.

The distance to the lowest polymorph of the same formula comes out at 0.0000 eV per atom. The value obtained for the formation energy from the elements is -0.044 eV/atom.

The structure belongs to space group P4/mmm (No. 123); the cell edges are 3.586, 3.586 and 24.459 Å and the angles 90.00°, 90.00° and 90.00°. The distinct sites, in fractional coordinates, are Sm at (0.000, 0.000, 0.000), Sm at (0.000, 0.000, 0.204), Sm at (0.000, 0.000, 0.409), Tm at (0.500, 0.500, 0.102), Tm at (0.500, 0.500, 0.305) and Tl at (0.500, 0.500, 0.500).

(2)
Computed, not measured: a geometry-optimized KMn2Fe structure at the PBE level of DFT.

The distance to the lowest polymorph of the same formula comes out at 0.7602 eV per atom. The value obtained for the formation energy from the elements is 1.459 eV/atom.

The structure belongs to space group Fm-3m (No. 225); the cell edges are 6.539, 6.539 and 6.539 Å and the angles 90.00°, 90.00° and 90.00°. The distinct sites, in fractional coordinates, are K at (0.000, 0.000, 0.000), Mn at (0.250, 0.250, 0.250) and Fe at (0.000, 0.000, 0.500).

(3)
Computed, not measured: a geometry-optimized Tm2SiNi6 structure at the PBE level of DFT.

The distance to the lowest polymorph of the same formula comes out at 0.0000 eV per atom. For the formation energy from raw total energies, the calculation gives -0.545 eV per atom.

The structure belongs to space group C2/m (No. 12); the cell edges are 8.906, 5.205 and 5.636 Å and the angles 90.00°, 104.08° and 90.00°. The distinct sites, in fractional coordinates, are Tm at (0.143, 0.000, 0.342), Si at (0.000, 0.500, 0.500), Ni at (0.119, 0.500, 0.183) and Ni at (0.136, 0.242, 0.825).